[1]
Entry from Alexandria: a geometry-optimized NaTl2GaBr4 structure (PBE-GGA).

Computed properties:
N(E_F): 0.0 states/eV/cell
Raw total energy: -2.91 eV/atom
ΔE_f (raw): -0.94 eV/atom

abc: 7.8899 4.5411 7.9857
angles: 90.00 109.09 90.00
Space group P2/m (No. 10)
Inequivalent atoms, fractional coordinates:
Na 0.0000 0.0000 0.0000 [1 per cell]
Tl 0.0000 0.5000 0.5000 [1 per cell]
Tl 0.5000 0.0000 0.5000 [1 per cell]
Ga 0.5000 0.5000 0.0000 [1 per cell]
Br 0.2346 0.5000 0.2224 [2 per cell]
Br 0.2511 0.0000 0.7744 [2 per cell]



[2]
Entry from Alexandria: a geometry-optimized Na2TmGaBr6 structure (PBE-GGA).

Computed properties:
N(E_F): 0.0 states/eV/cell
Raw total energy: -3.49 eV/atom
ΔE_f (raw): -1.48 eV/atom

abc: 7.4705 7.4705 20.3751
angles: 90.00 90.00 120.00
Space group R3 (No. 146, hexagonal axes)
Inequivalent atoms, fractional coordinates:
Na 0.0000 0.0000 0.0000 [3 per cell]
Na 0.0000 0.0000 0.4878 [3 per cell]
Tm 0.0000 0.0000 0.6821 [3 per cell]
Ga 0.0000 0.0000 0.1945 [3 per cell]
Br 0.0098 0.7119 0.5964 [9 per cell]
Br 0.0114 0.3638 0.4216 [9 per cell]



[3]
Entry from Alexandria: a geometry-optimized NaVGaBr2 structure (PBE-GGA).

Computed properties:
N(E_F): 2.7 states/eV/cell
Raw total energy: -3.62 eV/atom
ΔE_f (raw): -0.25 eV/atom

abc: 5.3103 5.3103 5.0773
angles: 90.00 90.00 90.00
Space group P4/mmm (No. 123)
Inequivalent atoms, fractional coordinates:
Na 0.0000 0.0000 0.0000 [1 per cell]
V 0.5000 0.5000 0.5000 [1 per cell]
Ga 0.5000 0.5000 0.0000 [1 per cell]
Br 0.0000 0.5000 0.5000 [2 per cell]